A geometry-optimized SrIrSe2 structure, computed with GGA-PBEsol.

Cell and atoms, written as POSCAR:
```
SrIrSe2
1.0
-1.904 2.898 4.083
1.904 -2.898 4.083
1.904 2.898 -4.083
Sr Ir Se
1 1 2
Direct
0.000 0.000 0.000 Sr
0.500 0.500 0.000 Ir
0.314 0.814 0.500 Se
0.686 0.186 0.500 Se
```

Computed properties:
Space group: Immm (71)
DOS(E_F) (states/eV/f.u.): 2.60
Uncorrected formation energy (eV/atom): -0.80
Magnetic moment (Bohr magnetons per cell): 0.00
Final energy (eV per atom): -5.640